<a>
Material: Sr3GaGe
Method: DFT, GGA-PBE
State: optimized geometry

## Properties
**SG**: No. 12

The structure in POSCAR format:
```
Sr3GaGe
1.0
4.0603 0.0004 0.0002
-2.0297 8.9417 -0.2687
-0.0003 -0.6249 9.5225
Sr Ge Ga
6 2 2
Direct
0.7753 0.5835 0.3875
0.0710 0.1747 0.3810
0.4198 0.8732 0.6308
0.2688 0.5707 0.0341
0.6240 0.2808 0.7909
0.9732 0.9796 0.0407
0.6328 0.2979 0.1313
0.4120 0.8563 0.2903
0.2349 0.5036 0.6477
0.8081 0.6501 0.7736
```

<b>
Material: Sr3GaGe
Method: DFT, GGA-PBE
State: optimized geometry

## Properties
**SG**: No. 221

The structure in POSCAR format:
```
Sr3GaGe
1.0
-3.3888 -2.4040 4.4003
-4.3958 -1.1307 -4.0031
2.4123 -5.4377 -1.1130
Sr Ga Ge
3 1 1
Direct
0.5000 0.0000 0.0000
0.0000 0.5000 0.0000
0.0000 0.0000 0.5000
0.5000 0.5000 0.5000
0.0000 0.0000 0.0000
```

Result of the stability comparison: <a> is the most stable of them.

<a>
Material: SrGaGe3
Method: DFT, GGA-PBE
State: optimized geometry

## Properties
**SG**: No. 221

The structure in POSCAR format:
```
SrGaGe3
1.0
-1.6529 3.0901 4.4460
-1.2072 -4.7419 2.8470
5.2782 -0.1168 2.0435
Ge Sr Ga
3 1 1
Direct
0.0000 0.5000 0.0000
0.0000 0.0000 0.5000
0.5000 0.0000 0.0000
0.0000 0.0000 0.0000
0.5000 0.5000 0.5000
```

<b>
Material: SrGaGe3
Method: DFT, GGA-PBE
State: optimized geometry

## Properties
**SG**: No. 221

The structure in POSCAR format:
```
SrGaGe3
1.0
-4.4062 -2.4727 0.3171
1.6953 -3.4441 -3.3005
1.8278 -2.7664 3.8256
Sr Ge Ga
1 3 1
Direct
0.5000 0.5000 0.5000
0.5000 0.0000 0.0000
0.0000 0.5000 0.0000
0.0000 0.0000 0.5000
0.0000 0.0000 0.0000
```

Result of the stability comparison: <b> is the most stable of them.

<a>
Material: SrGa3Ge
Method: DFT, GGA-PBE
State: optimized geometry

## Properties
**SG**: No. 221

The structure in POSCAR format:
```
SrGa3Ge
1.0
-2.1286 -2.1487 -4.8273
4.4704 -3.5069 -0.4102
-2.8170 -3.9415 2.9966
Sr Ga Ge
1 3 1
Direct
0.0000 0.0000 0.0000
0.5000 0.0000 0.0000
0.0000 0.5000 0.0000
0.0000 0.0000 0.5000
0.5000 0.5000 0.5000
```

<b>
Material: SrGa3Ge
Method: DFT, GGA-PBE
State: optimized geometry

## Properties
**SG**: No. 107

The structure in POSCAR format:
```
SrGa3Ge
1.0
4.3641 -3.9224 -1.7106
2.4313 -3.2990 4.5345
-5.6701 1.2879 -1.8834
Ga Ge Sr
3 1 1
Direct
0.3475 0.8475 0.5000
0.2252 0.2252 0.0000
0.8475 0.3475 0.5000
0.9772 0.9772 0.0000
0.5959 0.5959 0.0000
```

Result of the stability comparison: <b> is the most stable of them.

<a>
Material: SrGa3Ge3
Method: DFT, GGA-PBE
State: optimized geometry

## Properties
**SG**: No. 176

The structure in POSCAR format:
```
SrGa3Ge3
1.0
-1.2898 3.9197 1.0542
-8.3873 -1.2834 -5.4898
0.0943 -2.5954 9.7659
Ge Ga Sr
6 6 2
Direct
0.2500 0.3254 0.9165
0.2500 0.0835 0.4089
0.7500 0.6746 0.0835
0.7500 0.9165 0.5911
0.2500 0.5911 0.6746
0.7500 0.4089 0.3254
0.7500 0.9308 0.3321
0.2500 0.0692 0.6679
0.2500 0.3320 0.4012
0.2500 0.5987 0.9308
0.7500 0.4013 0.0692
0.7500 0.6680 0.5988
0.7500 0.3333 0.6666
0.2500 0.6667 0.3334
```

<b>
Material: SrGa3Ge3
Method: DFT, GGA-PBE
State: optimized geometry

## Properties
**SG**: No. 223

The structure in POSCAR format:
```
SrGa3Ge3
1.0
-2.1548 -5.0440 -4.4869
0.1072 -4.7349 5.2713
-6.7500 1.5350 1.5160
Ge Sr Ga
6 2 6
Direct
0.5000 0.2500 0.0000
0.7500 0.0000 0.5000
0.0000 0.5000 0.7500
0.0000 0.5000 0.2500
0.2500 0.0000 0.5000
0.5000 0.7500 0.0000
0.5000 0.5000 0.5000
0.0000 0.0000 0.0000
0.0000 0.2500 0.5000
0.0000 0.7500 0.5000
0.7500 0.5000 0.0000
0.2500 0.5000 0.0000
0.5000 0.0000 0.7500
0.5000 0.0000 0.2500
```

Result of the stability comparison: <a> is the most stable of them.

<a>
Material: Ta4GaGe
Method: DFT, GGA-PBE
State: optimized geometry

## Properties
**SG**: No. 124

The structure in POSCAR format:
```
Ta4GaGe
1.0
5.2146 0.0000 0.0000
0.0000 6.2650 0.0000
0.0000 0.0000 6.2650
Ta Ge Ga
8 2 2
Direct
0.0000 0.6574 0.8417
0.0000 0.3426 0.1583
0.5000 0.1583 0.3426
0.5000 0.6574 0.1583
0.5000 0.3426 0.8417
0.0000 0.8417 0.3426
0.5000 0.8417 0.6574
0.0000 0.1583 0.6574
0.7500 0.5000 0.5000
0.2500 0.5000 0.5000
0.2500 0.0000 0.0000
0.7500 0.0000 0.0000
```

<b>
Material: Ta4GaGe
Method: DFT, GGA-PBE
State: optimized geometry

## Properties
**SG**: No. 15

The structure in POSCAR format:
```
Ta4GaGe
1.0
5.0301 -1.2440 0.0000
-1.8199 5.8302 0.0000
-1.6051 -2.2931 7.9102
Ga Ta Ge
2 8 2
Direct
0.3752 0.6252 0.2503
0.6248 0.3748 0.7497
0.9666 0.2147 0.9280
0.7882 0.0354 0.5722
0.5386 0.2867 0.0720
0.4614 0.7133 0.9280
0.2840 0.5368 0.5722
0.2118 0.9646 0.4278
0.7160 0.4632 0.4278
0.0334 0.7853 0.0720
0.8749 0.1249 0.2498
0.1251 0.8751 0.7502
```

Result of the stability comparison: <a> is the most stable of them.

<a>
Material: Tb3GaGe3
Method: DFT, GGA-PBE
State: optimized geometry

## Properties
**SG**: No. 176

The structure in POSCAR format:
```
Tb3GaGe3
1.0
5.9091 0.0000 0.0000
0.0000 8.5247 0.0000
0.0000 -4.2623 7.3826
Tb Ge Ga
6 6 2
Direct
0.7500 0.3671 0.0587
0.2500 0.0587 0.6916
0.7500 0.6916 0.6329
0.2500 0.3084 0.3671
0.2500 0.6329 0.9413
0.7500 0.9413 0.3084
0.7500 0.6407 0.9440
0.2500 0.9440 0.3033
0.2500 0.3593 0.0560
0.2500 0.6967 0.6407
0.7500 0.3033 0.3593
0.7500 0.0560 0.6967
0.2500 0.6667 0.3333
0.7500 0.3333 0.6667
```

<b>
Material: Tb3GaGe3
Method: DFT, GGA-PBE
State: optimized geometry

## Properties
**SG**: No. 12

The structure in POSCAR format:
```
Tb3GaGe3
1.0
4.1793 0.0000 0.6295
2.0386 5.4483 0.6538
0.0835 0.4196 13.6329
Tb Ge Ga
6 6 2
Direct
0.6065 0.7102 0.0767
0.4860 0.6522 0.3758
0.2653 0.2430 0.2265
0.5140 0.3478 0.6242
0.7347 0.7570 0.7735
0.3935 0.2898 0.9233
0.1178 0.8410 0.9235
0.9910 0.7953 0.2226
0.1338 0.2740 0.4583
0.8822 0.1590 0.0765
0.0090 0.2047 0.7774
0.8662 0.7260 0.5417
0.7706 0.0791 0.3796
0.2294 0.9209 0.6204
```

Result of the stability comparison: <b> is the most stable of them.

<a>
Material: TbGaGe2
Method: DFT, GGA-PBE
State: optimized geometry

## Properties
**SG**: No. 59

The structure in POSCAR format:
```
TbGaGe2
1.0
-1.7573 -2.5324 -2.2747
3.5722 -2.8703 0.4358
-4.3662 -4.2101 8.0601
Ga Ge Tb
2 4 2
Direct
0.0000 0.0000 0.6586
0.5000 0.5000 0.3414
0.5000 0.0000 0.4631
0.0000 0.5000 0.5369
0.5000 0.0000 0.8452
0.0000 0.5000 0.1548
0.0000 0.5000 0.8629
0.5000 0.0000 0.1371
```

<b>
Material: TbGaGe2
Method: DFT, GGA-PBE
State: optimized geometry

## Properties
**SG**: No. 166

The structure in POSCAR format:
```
TbGaGe2
1.0
4.5014 0.0000 0.0000
2.2507 3.8983 0.0000
2.2507 1.2994 4.8346
Ge Ga Tb
2 1 1
Direct
0.7175 0.7175 0.8475
0.2825 0.2825 0.1525
0.0000 0.0000 0.0000
0.5000 0.5000 0.5000
```

Result of the stability comparison: <a> is the most stable of them.

<a>
Material: TbYGaGe
Method: DFT, GGA-PBE
State: optimized geometry

## Properties
**SG**: No. 216

The structure in POSCAR format:
```
TbYGaGe
1.0
5.0740 0.0000 0.0000
2.5370 4.3942 0.0000
2.5370 1.4647 4.1429
Y Tb Ge Ga
1 1 1 1
Direct
0.5000 0.5000 0.5000
0.0000 0.0000 0.0000
0.2500 0.2500 0.2500
0.7500 0.7500 0.7500
```

<b>
Material: TbYGaGe
Method: DFT, GGA-PBE
State: optimized geometry

## Properties
**SG**: No. 38

The structure in POSCAR format:
```
TbYGaGe
1.0
4.3363 0.0000 0.0000
0.0000 4.0154 0.0000
-2.1682 0.0000 5.4148
Ga Tb Y Ge
1 1 1 1
Direct
0.5791 0.5000 0.1582
0.1397 0.0000 0.2795
0.8602 0.5000 0.7203
0.4210 0.0000 0.8420
```

Result of the stability comparison: <b> is the most stable of them.

<a>
Material: GaTc2Ge
Method: DFT, GGA-PBE
State: optimized geometry

## Properties
**SG**: No. 225

The structure in POSCAR format:
```
GaTc2Ge
1.0
0.0000 3.0659 3.0659
3.0659 0.0000 3.0659
3.0659 3.0659 0.0000
Ge Tc Ga
1 2 1
Direct
0.5000 0.5000 0.5000
0.2500 0.2500 0.2500
0.7500 0.7500 0.7500
0.0000 0.0000 0.0000
```

<b>
Material: GaTc2Ge
Method: DFT, GGA-PBE
State: optimized geometry

## Properties
**SG**: No. 122

The structure in POSCAR format:
```
GaTc2Ge
1.0
-6.7608 -0.9457 -0.4525
1.0452 -6.3093 -2.4308
-2.8910 -4.6373 1.1651
Tc Ga Ge
4 2 2
Direct
0.6385 0.1250 0.2500
0.8750 0.8885 0.7500
0.3750 0.3615 0.7500
0.1115 0.6250 0.2500
0.2500 0.7500 0.5000
0.5000 0.5000 0.0000
0.7500 0.2500 0.5000
0.0000 0.0000 0.0000
```

<c>
Material: GaTc2Ge
Method: DFT, GGA-PBE
State: optimized geometry

## Properties
**SG**: No. 71

The structure in POSCAR format:
```
GaTc2Ge
1.0
-4.7744 3.2720 0.3306
2.0311 -4.8468 2.4483
5.4692 -1.0015 1.6419
Tc Ge Ga
2 1 1
Direct
0.0000 0.2559 0.2559
0.0000 0.7441 0.7441
0.0000 0.5000 0.5000
0.0000 0.0000 0.0000
```

Result of the stability comparison: <a> is the most stable of them.

<a>
Material: GaTc2Ge
Method: DFT, GGA-PBE
State: optimized geometry

## Properties
**SG**: No. 160

The structure in POSCAR format:
```
GaTc2Ge
1.0
-1.6471 0.8466 -2.2754
-2.6055 -1.2621 -0.4748
-4.9340 5.3893 3.6854
Tc Ge Ga
2 1 1
Direct
0.0820 0.0820 0.7540
0.2514 0.2514 0.2458
0.6666 0.6666 0.0003
0.5000 0.5000 0.4999
```

<b>
Material: GaTc2Ge
Method: DFT, GGA-PBE
State: optimized geometry

## Properties
**SG**: No. 123

The structure in POSCAR format:
```
GaTc2Ge
1.0
-0.5740 3.0007 -0.1755
-2.1961 -0.2967 2.1104
4.1379 1.0520 4.4538
Tc Ge Ga
2 1 1
Direct
0.0000 0.0000 0.7602
0.0000 0.0000 0.2398
0.5000 0.5000 0.0000
0.5000 0.5000 0.5000
```

<c>
Material: GaTc2Ge
Method: DFT, GGA-PBE
State: optimized geometry

## Properties
**SG**: No. 166

The structure in POSCAR format:
```
GaTc2Ge
1.0
-2.5182 -0.0331 -1.4829
-1.2496 -2.5472 -0.7010
-5.3582 -0.7642 6.2361
Tc Ga Ge
2 1 1
Direct
0.7520 0.7520 0.7439
0.2480 0.2480 0.2561
0.0000 0.0000 0.0000
0.5000 0.5000 0.5000
```

Result of the stability comparison: <b> is the most stable of them.

<a>
Material: Ga2TcGe2
Method: DFT, GGA-PBE
State: optimized geometry

## Properties
**SG**: No. 127

The structure in POSCAR format:
```
Ga2TcGe2
1.0
6.6057 0.0000 0.0000
0.0000 6.6057 0.0000
0.0000 0.0000 3.9178
Tc Ge Ga
2 4 4
Direct
0.5000 0.5000 0.0000
0.0000 0.0000 0.0000
0.6374 0.1374 0.0000
0.1374 0.3626 0.0000
0.3626 0.8626 0.0000
0.8626 0.6374 0.0000
0.8257 0.3257 0.5000
0.3257 0.1743 0.5000
0.6743 0.8257 0.5000
0.1743 0.6743 0.5000
```

<b>
Material: Ga2TcGe2
Method: DFT, GGA-PBE
State: optimized geometry

## Properties
**SG**: No. 12

The structure in POSCAR format:
```
Ga2TcGe2
1.0
-4.7798 -4.0993 -0.9580
-0.2155 -3.3316 -5.8423
-0.3586 -6.2201 1.3414
Ga Ge Tc
4 4 2
Direct
0.7849 0.5295 0.2648
0.6856 0.5295 0.7352
0.2151 0.4705 0.7352
0.3144 0.4705 0.2648
0.5908 0.0000 0.1286
0.1229 0.0000 0.5988
0.4092 0.0000 0.8714
0.8771 0.0000 0.4012
0.8792 0.2417 0.0000
0.1208 0.7583 0.0000
```

Result of the stability comparison: <b> is the most stable of them.